Dy4TlIr: optimized geometry, PBE-GGA.

Computed properties:
ΔE_f in meV per atom: -348
Total magnetic moment in μB/atom: 0.000

a b c (Å): 7.533 7.036 6.900
angles (deg): 90.00 91.61 90.00
Fractional positions:
Dy  0.136  0.158  0.171
Dy  0.136  0.342  0.671
Dy  0.313  0.640  0.122
Dy  0.313  0.860  0.622
Dy  0.687  0.140  0.378
Dy  0.687  0.360  0.878
Dy  0.864  0.658  0.329
Dy  0.864  0.842  0.829
Tl  0.500  0.000  0.000
Tl  0.500  0.500  0.500
Ir  0.000  0.000  0.500
Ir  0.000  0.500  0.000